(1)
Below is a relaxed CdBiPb4 crystal, with properties calculated at the GGA-PBE level. Values from VASP.

```
&SYSTEM
  ibrav = 0, nat = 6, ntyp = 3
/
ATOMIC_SPECIES
Cd 112.41 Cd.upf
Bi 208.98 Bi.upf
Pb 207.20 Pb.upf
CELL_PARAMETERS angstrom
5.6782 -0.5046 1.7966
-0.2377 5.9878 -0.8594
0.9960 -0.8784 5.8557
ATOMIC_POSITIONS crystal
Cd 0.7512 0.5025 0.0019
Bi 0.7513 0.0028 0.5018
Pb 0.0827 0.9965 0.8348
Pb 0.4200 0.0091 0.1689
Pb 0.0824 0.5017 0.3279
Pb 0.4201 0.5037 0.6759
```

Summary:
energy of formation from the pure elements = 0.035 eV per atom
raw total energy = -19.42 eV for the cell shown
size of the total moment = 0.000 μB per formula unit
SG = P-1, No. 2

***

(2)
Below is a relaxed CdBiPb2 crystal, with properties calculated at the GGA-PBE level. Values from VASP.

```
&SYSTEM
  ibrav = 0, nat = 8, ntyp = 3
/
ATOMIC_SPECIES
Cd 112.41 Cd.upf
Bi 208.98 Bi.upf
Pb 207.20 Pb.upf
CELL_PARAMETERS angstrom
6.1816 0.0000 3.4025
2.3775 5.8086 2.9971
0.2043 0.3076 6.9454
ATOMIC_POSITIONS crystal
Cd 0.2500 0.2380 0.2620
Cd 0.7500 0.7620 0.7380
Bi 0.7500 0.2037 0.2963
Bi 0.2500 0.7963 0.7037
Pb 0.2173 0.2827 0.7827
Pb 0.2827 0.7173 0.2173
Pb 0.7827 0.7173 0.2173
Pb 0.7173 0.2827 0.7827
```

Summary:
energy of formation from the pure elements = 0.041 eV per atom
raw total energy = -24.10 eV for the cell shown
size of the total moment = 0.000 μB per formula unit
SG = Imma, No. 74

***

(3)
Below is a relaxed CdBi2Pb4 crystal, with properties calculated at the GGA-PBE level. Values from VASP.

```
&SYSTEM
  ibrav = 0, nat = 14, ntyp = 3
/
ATOMIC_SPECIES
Cd 112.41 Cd.upf
Bi 208.98 Bi.upf
Pb 207.20 Pb.upf
CELL_PARAMETERS angstrom
-5.8089 -5.5071 0.2099
3.5404 -3.5552 4.7021
-0.3664 7.1860 5.7091
ATOMIC_POSITIONS crystal
Cd 0.2779 0.7500 0.3258
Cd 0.7221 0.2500 0.6742
Bi 0.8322 0.7500 0.0684
Bi 0.1678 0.2500 0.9316
Bi 0.3020 0.2500 0.3644
Bi 0.6980 0.7500 0.6356
Pb 0.5752 0.5014 0.2377
Pb 0.1563 0.7500 0.9270
Pb 0.8437 0.2500 0.0730
Pb 0.5752 0.9986 0.2377
Pb 0.9925 0.2500 0.5111
Pb 0.4248 0.0014 0.7623
Pb 0.4248 0.4986 0.7623
Pb 0.0075 0.7500 0.4889
```

Summary:
energy of formation from the pure elements = 0.045 eV per atom
raw total energy = -46.39 eV for the cell shown
size of the total moment = 0.000 μB per formula unit
SG = P2_1/m, No. 11